[1]
{
  "formula": "Lu3SeN2",
  "functional": "GGA-PBE",
  "state": "optimized geometry",
  "lattice_angstrom": [[3.4880, 0.0000, 0.0000], [-1.7440, 3.0207, 0.0000], [0.0000, 0.0000, 9.0649]],
  "species": ["Lu", "Lu", "Lu", "Se", "N", "N"],
  "frac_coords": [[0.0000, 0.0000, 0.0000], [0.3333, 0.6667, 0.7163], [0.6667, 0.3333, 0.2837], [0.0000, 0.0000, 0.5000], [0.3333, 0.6667, 0.1547], [0.6667, 0.3333, 0.8453]],
  "space_group": "No. 164"
}

***

[2]
{
  "formula": "BeCoW",
  "functional": "GGA-PBE",
  "state": "optimized geometry",
  "lattice_angstrom": [[0.0000, 2.7529, 2.7529], [2.7529, 0.0000, 2.7529], [2.7529, 2.7529, 0.0000]],
  "species": ["Be", "Co", "W"],
  "frac_coords": [[0.0000, 0.0000, 0.0000], [0.5000, 0.5000, 0.5000], [0.2500, 0.2500, 0.2500]],
  "space_group": "No. 216"
}

***

[3]
{
  "formula": "PrSn4Pd2",
  "functional": "GGA-PBE",
  "state": "optimized geometry",
  "lattice_angstrom": [[8.2511, -3.1928, 0.0000], [8.2511, 3.1928, 0.0000], [0.0000, 0.0000, 6.1385]],
  "species": ["Pr", "Pr", "Sn", "Sn", "Sn", "Sn", "Sn", "Sn", "Sn", "Sn", "Pd", "Pd", "Pd", "Pd"],
  "frac_coords": [[0.2275, 0.7725, 0.7500], [0.7725, 0.2275, 0.2500], [0.1484, 0.4491, 0.7500], [0.1952, 0.6302, 0.2500], [0.3698, 0.8048, 0.2500], [0.4491, 0.1484, 0.2500], [0.5509, 0.8516, 0.7500], [0.6302, 0.1952, 0.7500], [0.8048, 0.3698, 0.7500], [0.8516, 0.5509, 0.2500], [0.1694, 0.1694, 0.0000], [0.1694, 0.1694, 0.5000], [0.8306, 0.8306, 0.0000], [0.8306, 0.8306, 0.5000]],
  "space_group": "No. 63"
}

***

no.,calculated total energy (eV/atom),total magnetic moment (μB/f.u.)
1,-7.3790,0.01
2,-7.1120,0.01
3,-5.0593,0.00